The following is a DFT calculation (PBE) of Tm2Pd5Au5 after structural relaxation.

The calculation puts the energy above the most stable polymorph in this dataset at 98 meV/atom. For the calculated formation energy, the calculation gives -0.5181 eV/atom.

The structure belongs to space group C2/m (No. 12); the cell edges are 13.3795, 4.6470 and 7.5905 Å and the angles 90.00°, 107.72° and 90.00°. The distinct sites, in fractional coordinates, are Tm at (0.1430, 0.0000, 0.2787), Pd at (0.0000, 0.0000, 0.5000), Pd at (0.0753, 0.0000, 0.8900), Pd at (0.2204, 0.0000, 0.6911), Au at (0.0000, 0.5000, 0.0000), Au at (0.1172, 0.5000, 0.5105) and Au at (0.1938, 0.5000, 0.9138).

The following is a DFT calculation (PBE) of TmPd3Au after structural relaxation.

The calculation puts the energy above the most stable polymorph in this dataset at 0 meV/atom. For the calculated formation energy, the calculation gives -0.5753 eV/atom.

The structure belongs to space group P2_13 (No. 198); the cell edges are 7.1632, 7.1632 and 7.1632 Å and the angles 90.00°, 90.00° and 90.00°. The distinct sites, in fractional coordinates, are Tm at (0.2168, 0.2168, 0.2168), Pd at (0.0775, 0.1256, 0.8258) and Au at (0.0279, 0.9721, 0.4721).

The following is a DFT calculation (PBE) of Tm3Pd2Au4 after structural relaxation.

For the calculated formation energy, the calculation gives -0.8248 eV/atom.

The structure belongs to space group C2/c (No. 15); the cell edges are 13.7481, 10.2581 and 5.1969 Å and the angles 90.00°, 100.82° and 90.00°. The distinct sites, in fractional coordinates, are Tm at (0.0000, 0.1248, 0.2500), Tm at (0.1698, 0.3744, 0.0869), Pd at (0.2220, 0.1254, 0.3577), Au at (0.0589, 0.3737, 0.5256) and Au at (0.1120, 0.1220, 0.8077).

The following is a DFT calculation (PBE) of TmPd6Au after structural relaxation.

The calculation puts the energy above the most stable polymorph in this dataset at 179 meV/atom. For the calculated formation energy, the calculation gives -0.2941 eV/atom.

The structure belongs to space group C2/m (No. 12); the cell edges are 5.3927, 9.3613 and 5.5166 Å and the angles 90.00°, 93.23° and 90.00°. The distinct sites, in fractional coordinates, are Tm at (0.0000, 0.0000, 0.0000), Pd at (0.0275, 0.5000, 0.2506), Pd at (0.1956, 0.2491, 0.7442) and Au at (0.0000, 0.0000, 0.5000).

The following is a DFT calculation (PBE) of Tm2Pd3Au after structural relaxation.

The calculation puts the energy above the most stable polymorph in this dataset at 99 meV/atom. For the calculated formation energy, the calculation gives -0.5718 eV/atom.

The structure belongs to space group Ibam (No. 72); the cell edges are 7.6107, 13.0255 and 5.5168 Å and the angles 90.00°, 90.00° and 90.00°. The distinct sites, in fractional coordinates, are Tm at (0.1812, 0.1528, 0.0000), Pd at (0.0000, 0.0000, 0.2500), Pd at (0.0000, 0.3095, 0.2500) and Au at (0.0000, 0.5000, 0.0000).

The following is a DFT calculation (PBE) of TmPd4Au7 after structural relaxation.

The calculation puts the energy above the most stable polymorph in this dataset at 255 meV/atom. For the calculated formation energy, the calculation gives -0.0727 eV/atom.

The structure belongs to space group C2/m (No. 12); the cell edges are 11.1428, 5.1002 and 9.7653 Å and the angles 90.00°, 122.76° and 90.00°. The distinct sites, in fractional coordinates, are Tm at (0.0000, 0.0000, 0.0000), Pd at (0.0704, 0.5000, 0.7743), Pd at (0.2178, 0.5000, 0.3236), Au at (0.0000, 0.5000, 0.0000), Au at (0.0675, 0.0000, 0.3469), Au at (0.1469, 0.5000, 0.5554) and Au at (0.2096, 0.0000, 0.9082).

The following is a DFT calculation (PBE) of Tm3Pd5Au after structural relaxation.

The calculation puts the energy above the most stable polymorph in this dataset at 342 meV/atom. For the calculated formation energy, the calculation gives -0.5462 eV/atom.

The structure belongs to space group I4/mcm (No. 140); the cell edges are 8.2095, 8.2095 and 11.0172 Å and the angles 90.00°, 90.00° and 90.00°. The distinct sites, in fractional coordinates, are Tm at (0.0000, 0.0000, 0.2500), Tm at (0.1260, 0.3740, 0.0000), Pd at (0.0000, 0.0000, 0.0000), Pd at (0.1975, 0.3025, 0.3658) and Au at (0.0000, 0.5000, 0.2500).

The following is a DFT calculation (PBE) of Tm8Pd2Au after structural relaxation.

The calculation puts the energy above the most stable polymorph in this dataset at 0 meV/atom. For the calculated formation energy, the calculation gives -0.4949 eV/atom.

The structure belongs to space group C2/m (No. 12); the cell edges are 17.4168, 5.0106 and 6.7222 Å and the angles 90.00°, 105.26° and 90.00°. The distinct sites, in fractional coordinates, are Tm at (0.0326, 0.0000, 0.2765), Tm at (0.0922, 0.5000, 0.9600), Tm at (0.1695, 0.5000, 0.4796), Tm at (0.2041, 0.0000, 0.8286), Pd at (0.1861, 0.0000, 0.2273) and Au at (0.0000, 0.5000, 0.5000).

Number 1: volume 449.6 Å³ per cell, M_tot 0.0 μB/cell, DOS at the Fermi energy 3.59 states/eV/f.u.. Number 2: volume 367.6 Å³ per cell, M_tot 0.0 μB/cell, DOS at the Fermi energy 1.19 states/eV/f.u.. Number 3: volume 719.9 Å³ per cell, M_tot 0.0 μB/cell, DOS at the Fermi energy 3.91 states/eV/f.u.. Number 4: volume 278.1 Å³ per cell, M_tot 0.0 μB/cell, DOS at the Fermi energy 6.16 states/eV/f.u.. Number 5: volume 546.9 Å³ per cell, M_tot 0.0 μB/cell, DOS at the Fermi energy 2.91 states/eV/f.u.. Number 6: volume 466.7 Å³ per cell, M_tot 0.0 μB/cell, DOS at the Fermi energy 4.51 states/eV/f.u.. Number 7: volume 742.5 Å³ per cell, M_tot 0.0 μB/cell, DOS at the Fermi energy 4.13 states/eV/f.u.. Number 8: volume 566.0 Å³ per cell, M_tot 0.0 μB/cell, DOS at the Fermi energy 12.48 states/eV/f.u..